Computed, not measured: a PBEsol-optimized structure of ZrRe2Pt at the SCAN level of DFT.

Relative energy among the computed polymorphs: 175 meV/atom
Total energy: -60.893 eV/atom
Density: 16.97 Mg/m³
Energy of formation: -122 meV/atom

a = 4.500 Å, b = 4.500 Å, c = 4.500 Å
α = 60.00°, β = 60.00°, γ = 60.00°
Sites, in units of the cell vectors:
Pt  0.500  0.500  0.500
Zr  0.250  0.250  0.250
Re  0.000  0.000  0.000
Re  0.750  0.750  0.750